Model one:
This record from Alexandria via LeMat-Bulk describes Mg4Cd3 at its PBEsol-relaxed geometry. The functional is meta-GGA SCAN.

POSCAR file:
```
Mg4Cd3
1.0
-1.573 2.197 -2.558
-0.769 -2.982 -2.088
-8.289 -0.627 7.264
Mg Cd
4 3
Cartesian
-7.862 -1.114 1.172
-8.128 -0.876 4.245
-2.769 -0.298 1.446
-2.503 -0.536 -1.627
-5.197 -0.827 -0.220
0.000 0.000 0.000
-5.434 -0.586 2.838
```

Output
As for the space group: I4/mmm.

=====

Model two:
This record from Alexandria via LeMat-Bulk describes Mg4Cd3 at its PBEsol-relaxed geometry. The functional is meta-GGA SCAN.

POSCAR file:
```
Mg4Cd3
1.0
-4.442 3.139 -1.321
2.460 -3.157 -3.913
-3.434 -4.305 1.314
Mg Cd
4 3
Cartesian
-2.559 -3.208 0.980
-1.558 -3.211 -2.392
-3.858 -1.112 -1.528
-0.875 -1.097 0.335
1.230 -1.578 -1.957
-0.991 -0.009 -2.617
-2.221 1.570 -0.661
```

Output
As for the space group: P6/mmm.

=====

Energy above the most stable structure, in eV/atom: model one 0.000; model two 0.039

=====

Model one:
This record from Alexandria via LeMat-Bulk describes MgCd3 at its PBEsol-relaxed geometry. The functional is meta-GGA SCAN.

POSCAR file:
```
MgCd3
1.0
-3.389 0.308 -3.455
4.454 -1.566 -1.105
-2.453 -8.161 1.679
Cd Mg
6 2
Cartesian
-2.199 -5.058 -1.696
-3.029 -7.818 -1.128
0.812 -4.362 -1.185
-0.613 -2.040 0.420
1.641 -1.602 -1.753
-1.840 -6.121 1.259
0.000 -7.062 -0.629
-1.388 -2.357 -2.252
```

Output
As for the space group: P6_3/mmc.

=====

Model two:
This record from Alexandria via LeMat-Bulk describes MgCd3 at its PBEsol-relaxed geometry. The functional is meta-GGA SCAN.

POSCAR file:
```
MgCd3
1.0
-2.416 1.824 -0.709
-1.937 -2.070 1.276
0.769 3.984 7.632
Cd Mg
3 1
Cartesian
0.191 0.989 1.895
0.578 2.995 5.737
-1.792 1.869 4.100
-2.177 -0.123 0.283
```

Output
As for the space group: P4/mmm.

=====

Model three:
This record from Alexandria via LeMat-Bulk describes MgCd3 at its PBEsol-relaxed geometry. The functional is meta-GGA SCAN.

POSCAR file:
```
MgCd3
1.0
4.357 0.000 0.000
0.000 4.357 0.000
0.000 0.000 4.357
Cd Mg
3 1
Cartesian
0.000 2.178 0.000
0.000 0.000 2.178
2.178 0.000 0.000
2.178 2.178 2.178
```

Output
As for the space group: Pm-3m.

=====

Model four:
This record from Alexandria via LeMat-Bulk describes MgCd3 at its PBEsol-relaxed geometry. The functional is meta-GGA SCAN.

POSCAR file:
```
MgCd3
1.0
-2.433 1.872 -0.746
-3.239 -4.220 -0.031
0.160 2.146 4.865
Cd Mg
3 1
Cartesian
0.000 0.000 0.000
-1.136 2.009 2.059
-2.836 -1.174 -0.388
-1.539 -1.037 2.417
```

Output
As for the space group: Cmmm.

=====

Energy above the most stable structure, in eV/atom: model one 0.080; model two 0.017; model three 0.000; model four 0.024

=====

Model one:
This record from Alexandria via LeMat-Bulk describes MgCd3 at its PBEsol-relaxed geometry. The functional is meta-GGA SCAN.

POSCAR file:
```
MgCd3
1.0
-2.963 0.355 -7.810
2.864 -7.235 3.059
-7.920 -1.901 2.919
Mg Cd
6 18
Cartesian
-1.638 -5.668 3.343
-6.547 -4.219 3.788
-5.517 -0.614 -3.894
-7.571 -6.381 -0.398
-3.578 -3.149 -0.281
-8.494 -1.682 0.156
1.036 -5.007 2.348
-4.665 -6.045 1.495
-2.648 -2.565 -3.587
-2.333 -5.158 -2.351
-6.607 -3.515 -2.128
-1.422 -0.341 0.524
-4.890 -5.721 -1.374
-6.259 -3.759 0.730
-5.822 -1.038 -0.851
-0.705 -5.095 0.036
-8.213 -1.256 -2.944
-1.323 -2.926 1.842
-2.830 0.028 -4.862
-4.305 -6.347 4.346
-3.860 -3.593 2.808
-3.242 -0.427 -1.737
-5.382 -1.292 1.983
-0.898 -2.523 -1.281
```

Output
As for the space group: P6_3cm.

=====

Model two:
This record from Alexandria via LeMat-Bulk describes MgCd3 at its PBEsol-relaxed geometry. The functional is meta-GGA SCAN.

POSCAR file:
```
MgCd3
1.0
-0.300 1.367 -2.759
-1.450 -4.562 -2.103
-4.038 2.668 3.496
Cd Mg
3 1
Cartesian
-3.326 -1.064 -1.900
-2.463 0.536 0.534
-0.395 -0.086 -1.734
-0.963 -3.030 -1.397
```

Output
As for the space group: Imm2.

=====

Model three:
This record from Alexandria via LeMat-Bulk describes MgCd3 at its PBEsol-relaxed geometry. The functional is meta-GGA SCAN.

POSCAR file:
```
MgCd3
1.0
-3.752 -2.266 -0.005
0.939 -1.564 3.985
-2.653 8.629 1.602
Mg Cd
2 6
Cartesian
-2.409 -0.257 2.877
-3.057 5.057 2.705
-4.438 3.099 4.672
0.469 -0.782 1.993
-1.876 -1.133 -0.003
-1.028 1.701 0.910
-3.906 2.224 1.793
-1.560 2.575 3.788
```

Output
As for the space group: I4/mmm.

=====

Model four:
This record from Alexandria via LeMat-Bulk describes MgCd3 at its PBEsol-relaxed geometry. The functional is meta-GGA SCAN.

POSCAR file:
```
MgCd3
1.0
5.267 0.000 0.000
0.000 4.991 0.000
0.000 0.000 6.253
Cd Mg
6 2
Cartesian
4.391 0.000 4.697
4.391 0.000 1.555
0.877 2.496 4.682
0.877 2.496 1.571
1.745 0.000 3.126
3.522 2.496 0.000
3.492 2.496 3.126
1.776 0.000 0.000
```

Output
As for the space group: Pmmn.

=====

Energy above the most stable structure, in eV/atom: model one 0.030; model two 0.021; model three 0.007; model four 0.000

=====

Model one:
This record from Alexandria via LeMat-Bulk describes MgCd3 at its PBEsol-relaxed geometry. The functional is meta-GGA SCAN.

POSCAR file:
```
MgCd3
1.0
-1.843 1.992 -1.714
-2.175 -1.184 -2.042
-7.830 0.232 5.685
Cd Mg
3 1
Cartesian
-2.955 0.260 0.474
-8.894 0.780 1.455
-5.924 0.520 0.964
0.000 0.000 0.000
```

Output
As for the space group: R-3m.

=====

Model two:
This record from Alexandria via LeMat-Bulk describes MgCd3 at its PBEsol-relaxed geometry. The functional is meta-GGA SCAN.

POSCAR file:
```
MgCd3
1.0
-1.948 -2.022 -1.441
-1.067 -1.701 3.830
-4.566 4.029 0.518
Mg Cd
1 3
Cartesian
-1.508 -1.862 1.194
-1.129 0.997 0.128
-3.436 3.032 0.390
-3.790 0.152 1.453
```

Output
As for the space group: Pmmm.

=====

Model three:
This record from Alexandria via LeMat-Bulk describes MgCd3 at its PBEsol-relaxed geometry. The functional is meta-GGA SCAN.

POSCAR file:
```
MgCd3
1.0
4.907 0.000 0.000
2.453 4.249 0.000
2.453 1.416 4.006
Cd Mg
3 1
Cartesian
7.360 4.249 3.005
0.000 0.000 0.000
2.453 1.416 1.002
4.907 2.833 2.003
```

Output
As for the space group: Fm-3m.

=====

Energy above the most stable structure, in eV/atom: model one 0.025; model two 0.000; model three 0.044

=====

Model one:
This record from Alexandria via LeMat-Bulk describes Mg3Cd5 at its PBEsol-relaxed geometry. The functional is meta-GGA SCAN.

POSCAR file:
```
Mg3Cd5
1.0
-3.401 -2.621 3.551
0.906 -8.234 -0.840
3.932 -1.246 7.217
Mg Cd
6 10
Cartesian
0.180 -2.580 7.010
-0.045 -5.709 0.114
1.569 -5.396 4.076
-0.132 -6.706 5.851
-2.450 -5.146 2.597
0.352 -1.287 3.758
2.619 -2.610 4.953
-0.543 -7.298 2.835
1.980 -4.804 7.092
-2.550 -1.966 2.663
-1.077 -3.943 4.801
0.234 -3.533 1.987
1.203 -8.569 7.940
2.514 -8.159 5.127
-1.182 -9.492 4.975
-0.850 -0.655 0.888
```

Output
As for the space group: Fmmm.

=====

Model two:
This record from Alexandria via LeMat-Bulk describes Mg3Cd5 at its PBEsol-relaxed geometry. The functional is meta-GGA SCAN.

POSCAR file:
```
Mg3Cd5
1.0
4.395 0.000 0.000
0.000 6.152 -0.061
0.000 -0.233 6.148
Cd Mg
5 3
Cartesian
0.000 0.000 0.000
0.000 3.076 -0.031
2.198 4.394 4.518
0.000 -0.116 3.074
2.198 1.526 1.569
2.198 1.320 4.638
2.198 4.600 1.448
0.000 2.960 3.043
```

Output
As for the space group: Cmmm.

=====

Energy above the most stable structure, in eV/atom: model one 0.076; model two 0.000

=====

Model one:
This record from Alexandria via LeMat-Bulk describes MgCdOs2 at its PBEsol-relaxed geometry. The functional is meta-GGA SCAN.

POSCAR file:
```
MgCdOs2
1.0
-0.906 -0.101 -2.787
1.860 -4.153 -0.454
-4.486 0.182 2.994
Mg Cd Os
1 1 2
Cartesian
0.930 -2.077 -0.227
-0.453 -0.051 -1.394
-1.501 -3.087 -0.942
-2.031 -0.986 0.696
```

Output
As for the space group: Immm.

=====

Model two:
This record from Alexandria via LeMat-Bulk describes MgCdOs2 at its PBEsol-relaxed geometry. The functional is meta-GGA SCAN.

POSCAR file:
```
MgCdOs2
1.0
2.846 0.000 0.000
0.000 3.651 0.000
0.000 0.000 6.223
Os Cd Mg
2 1 1
Cartesian
0.000 0.000 0.153
1.423 1.826 1.331
0.000 0.000 3.077
1.423 1.826 4.774
```

Output
As for the space group: Pmm2.

=====

Model three:
This record from Alexandria via LeMat-Bulk describes MgCdOs2 at its PBEsol-relaxed geometry. The functional is meta-GGA SCAN.

POSCAR file:
```
MgCdOs2
1.0
-0.427 -1.135 -2.574
-0.787 -2.452 1.211
-7.709 2.550 0.155
Os Cd Mg
2 1 1
Cartesian
-2.291 -1.236 -0.648
-0.164 0.054 0.003
-3.702 1.225 0.074
-6.620 0.196 -0.561
```

Output
As for the space group: P4mm.

=====

Model four:
This record from Alexandria via LeMat-Bulk describes MgCdOs2 at its PBEsol-relaxed geometry. The functional is meta-GGA SCAN.

POSCAR file:
```
MgCdOs2
1.0
2.941 0.000 0.000
0.000 4.579 0.000
0.000 0.000 4.640
Os Mg Cd
2 1 1
Cartesian
1.470 2.289 0.000
0.000 0.000 0.000
0.000 2.289 2.320
1.470 0.000 2.320
```

Output
As for the space group: Pmmm.

=====

Energy above the most stable structure, in eV/atom: model one 0.370; model two 0.145; model three 0.000; model four 0.359

=====

Model one:
This record from Alexandria via LeMat-Bulk describes MgCdOs2 at its PBEsol-relaxed geometry. The functional is meta-GGA SCAN.

POSCAR file:
```
MgCdOs2
1.0
-1.719 2.130 -0.156
-1.719 -2.269 -4.022
-1.369 -2.230 4.706
Os Cd Mg
2 1 1
Cartesian
-2.403 -1.185 0.265
-0.684 -1.115 2.353
-0.859 1.065 -0.078
-0.859 -1.135 -2.011
```

Output
As for the space group: C2/m.

=====

Model two:
This record from Alexandria via LeMat-Bulk describes MgCdOs2 at its PBEsol-relaxed geometry. The functional is meta-GGA SCAN.

POSCAR file:
```
MgCdOs2
1.0
-2.720 -1.996 -2.726
-0.565 -0.573 4.434
-1.042 3.825 -1.760
Os Cd Mg
2 1 1
Cartesian
-2.583 -0.827 -0.268
0.000 0.000 0.000
-1.881 0.915 -2.243
-1.744 2.083 0.215
```

Output
As for the space group: I-4m2.

=====

Energy above the most stable structure, in eV/atom: model one 0.045; model two 0.000

=====

Model one:
This record from Alexandria via LeMat-Bulk describes MgCd2Rh2 at its PBEsol-relaxed geometry. The functional is meta-GGA SCAN.

POSCAR file:
```
MgCd2Rh2
1.0
-1.860 -3.326 0.705
5.459 -3.453 -1.888
2.249 0.086 6.342
Rh Mg Cd
4 2 4
Cartesian
3.929 -1.182 4.792
1.561 -0.438 2.051
3.778 -2.185 -0.338
6.147 -2.928 2.403
0.000 0.000 0.000
3.854 -1.683 2.227
4.401 -4.526 0.911
1.278 -2.815 0.745
1.446 -2.167 4.247
4.570 -3.878 4.413
```

Output
As for the space group: P4/mbm.

=====

Model two:
This record from Alexandria via LeMat-Bulk describes MgCd2Rh2 at its PBEsol-relaxed geometry. The functional is meta-GGA SCAN.

POSCAR file:
```
MgCd2Rh2
1.0
3.771 0.000 0.000
0.000 3.771 0.000
-1.886 -1.886 6.570
Cd Rh Mg
2 2 1
Cartesian
0.000 0.000 5.208
1.886 1.886 1.361
0.000 1.886 3.285
1.886 0.000 3.285
0.000 0.000 0.000
```

Output
As for the space group: I4/mmm.

=====

Energy above the most stable structure, in eV/atom: model one 0.000; model two 0.417